(1)
Entry from Alexandria via LeMat-Bulk: a relaxed Y2Ga2Si crystal (PBE-GGA).

## Properties
**Total magnetic moment**: 0.00 Bohr magnetons per cell
**E_form (uncorrected)**: -638.9 meV per atom
**E_tot**: -5.520 eV per atom

a b c (Å): 4.169 5.802 9.702
angles (deg): 79.49 77.59 68.95
Fractional positions:
1 Y 0.514 0.649 0.323
2 Y 0.687 0.739 0.888
3 Ga 0.037 0.821 0.105
4 Ga 0.963 0.179 0.895
5 Si 0.803 0.073 0.321
6 Si 0.197 0.927 0.679
7 Ga 0.845 0.752 0.559
8 Y 0.486 0.351 0.677
9 Y 0.313 0.261 0.112
10 Ga 0.155 0.248 0.441

=====

(2)
Entry from Alexandria via LeMat-Bulk: a relaxed Tb2Dy3Tm7 crystal (PBE-GGA).

## Properties
**Total magnetic moment**: 0.00 Bohr magnetons per cell
**ΔE_f**: 1.36 eV/f.u.
**E_tot**: -4.417 eV per atom

a b c (Å): 3.555 5.602 18.834
angles (deg): 98.55 90.00 90.00
Fractional positions:
1 Tm 0.000 0.591 0.181
2 Tm 0.000 0.769 0.539
3 Tb 0.000 0.147 0.294
4 Tm 0.000 0.231 0.461
5 Dy 0.500 0.315 0.630
6 Tm 0.000 0.000 0.000
7 Dy 0.500 0.685 0.370
8 Tm 0.000 0.409 0.819
9 Dy 0.500 0.500 0.000
10 Tm 0.500 0.929 0.857
11 Tm 0.500 0.071 0.143
12 Tb 0.000 0.853 0.706

=====

(3)
Entry from Alexandria via LeMat-Bulk: a relaxed Pr8CoSi3Cl4 crystal (PBE-GGA).

## Properties
**Total magnetic moment**: 0.00 Bohr magnetons per cell
**E_form (uncorrected)**: -1058.2 meV per atom
**E_tot**: -5.371 eV per atom

a b c (Å): 8.474 8.602 8.481
angles (deg): 119.53 119.97 90.00
Fractional positions:
1 Si 0.500 0.500 0.500
2 Pr 0.754 0.717 0.986
3 Pr 0.766 0.281 0.533
4 Cl 0.500 0.000 0.000
5 Cl 0.000 0.000 0.000
6 Pr 0.246 0.283 0.014
7 Pr 0.769 0.283 0.014
8 Cl 0.000 0.000 0.500
9 Pr 0.257 0.271 0.514
10 Pr 0.234 0.719 0.467
11 Pr 0.231 0.717 0.986
12 Cl 0.500 0.000 0.500
13 Si 0.500 0.500 0.000
14 Co 0.000 0.500 0.000
15 Pr 0.743 0.729 0.486
16 Si 0.000 0.500 0.500

=====

(4)
Entry from Alexandria via LeMat-Bulk: a relaxed Ta2TiH crystal (PBE-GGA).

## Properties
**Total magnetic moment**: 2.00 Bohr magnetons per cell
**E_tot**: -8.390 eV per atom

a b c (Å): 5.685 5.685 5.683
angles (deg): 59.98 59.98 90.00
Site moments in Bohr magnetons follow the coordinates.
Fractional positions:
1 Ta 0.376 0.125 0.250  0.01
2 H 0.250 0.750 0.500  0.00
3 Ti 0.000 0.000 0.000  0.64
4 H 0.500 0.500 0.000  0.00
5 Ti 0.750 0.250 0.500  0.64
6 Ta 0.374 0.625 0.250  0.00
7 Ta 0.875 0.626 0.750  0.01
8 Ta 0.375 0.624 0.750  0.00

=====

(5)
Entry from Alexandria via LeMat-Bulk: a relaxed Ba3Mn2S7 crystal (PBE-GGA).

## Properties
**Total magnetic moment**: 6.48 Bohr magnetons per cell
**E_form (uncorrected)**: -1252.4 meV per atom
**E_tot**: -5.669 eV per atom

a b c (Å): 4.763 4.763 12.970
angles (deg): 100.58 100.58 90.00
Site moments in Bohr magnetons follow the coordinates.
Fractional positions:
1 Mn 0.899 0.899 0.797  3.25
2 S 0.000 0.000 0.000  -0.15
3 Ba 0.500 0.500 0.000  0.02
4 S 0.806 0.806 0.613  -0.01
5 S 0.194 0.194 0.387  -0.01
6 Ba 0.679 0.679 0.358  0.01
7 S 0.908 0.408 0.817  -0.05
8 Mn 0.101 0.101 0.203  3.25
9 S 0.408 0.908 0.817  -0.05
10 Ba 0.321 0.321 0.642  0.01
11 S 0.592 0.092 0.183  -0.05
12 S 0.092 0.592 0.183  -0.05

=====

(6)
Entry from Alexandria via LeMat-Bulk: a relaxed Ti2HgTe2 crystal (PBE-GGA).

## Properties
**Total magnetic moment**: 0.00 Bohr magnetons per cell
**E_form (uncorrected)**: 21.5 meV per atom
**E_tot**: -4.453 eV per atom

a b c (Å): 4.945 4.945 6.433
angles (deg): 67.40 67.40 90.00
Fractional positions:
1 Hg 0.000 0.000 0.000
2 Ti 0.375 0.375 0.249
3 Te 0.750 0.250 0.500
4 Te 0.250 0.750 0.500
5 Ti 0.625 0.625 0.751

=====

(7)
Entry from Alexandria via LeMat-Bulk: a relaxed Ce5Ga2Si5 crystal (PBE-GGA).

## Properties
**Total magnetic moment**: 2.75 Bohr magnetons per cell
**E_form (uncorrected)**: -593.1 meV per atom
**E_tot**: -5.830 eV per atom

a b c (Å): 4.092 7.648 9.006
angles (deg): 81.17 76.87 74.48
Site moments in Bohr magnetons follow the coordinates.
Fractional positions:
1 Ce 0.000 0.500 0.500  0.44
2 Si 0.694 0.234 0.378  -0.01
3 Ga 0.618 0.532 0.232  0.00
4 Si 0.000 0.000 0.000  -0.01
5 Ce 0.312 0.280 0.095  0.45
6 Ga 0.382 0.468 0.768  0.00
7 Ce 0.688 0.720 0.905  0.45
8 Si 0.306 0.766 0.622  -0.01
9 Si 0.065 0.703 0.168  -0.01
10 Si 0.935 0.297 0.832  -0.01
11 Ce 0.628 0.047 0.697  0.54
12 Ce 0.372 0.953 0.303  0.54

=====

(8)
Entry from Alexandria via LeMat-Bulk: a relaxed Tb3HoTm3Se8 crystal (PBE-GGA).

## Properties
**Total magnetic moment**: 0.00 Bohr magnetons per cell
**E_form (uncorrected)**: -1812.5 meV per atom
**E_tot**: -5.796 eV per atom

a b c (Å): 8.078 8.078 8.092
angles (deg): 119.95 90.00 120.00
Fractional positions:
1 Tb 0.000 0.500 0.000
2 Tb 0.000 0.000 0.000
3 Tm 0.500 0.000 0.500
4 Tb 0.500 0.500 0.000
5 Se 0.258 0.005 0.251
6 Se 0.253 0.507 0.749
7 Ho 0.000 0.000 0.500
8 Se 0.747 0.493 0.251
9 Tm 0.500 0.500 0.500
10 Se 0.747 0.005 0.251
11 Se 0.742 0.995 0.749
12 Se 0.252 0.504 0.257
13 Se 0.253 0.995 0.749
14 Tm 0.000 0.500 0.500
15 Se 0.748 0.496 0.743

=====

(9)
Entry from Alexandria via LeMat-Bulk: a relaxed Cs3GeO4 crystal (PBE-GGA).

## Properties
**Total magnetic moment**: 1.02 Bohr magnetons per cell
**E_form (uncorrected)**: -1461.1 meV per atom
**E_tot**: -4.837 eV per atom

a b c (Å): 6.581 6.581 6.581
angles (deg): 93.67 116.61 119.21
Site moments in Bohr magnetons follow the coordinates.
Fractional positions:
1 Ge 0.002 0.500 0.502  -0.03
2 Cs 0.546 0.240 0.786  0.00
3 Cs 0.546 0.760 0.307  0.00
4 O 0.147 0.664 0.811  0.23
5 Cs 0.054 0.000 0.054  0.00
6 O 0.635 0.281 0.354  0.19
7 O 0.147 0.336 0.483  0.23
8 O 0.073 0.719 0.354  0.19

=====

(10)
Entry from Alexandria via LeMat-Bulk: a relaxed Rb2ZnPdF6 crystal (PBE-GGA).

## Properties
**Total magnetic moment**: 4.00 Bohr magnetons per cell
**E_form (uncorrected)**: -2160.5 meV per atom
**E_tot**: -4.124 eV per atom

a b c (Å): 6.130 6.130 10.890
angles (deg): 73.65 73.65 60.00
Site moments in Bohr magnetons follow the coordinates.
Fractional positions:
1 Zn 0.000 0.000 0.000  0.06
2 F 0.197 0.197 0.886  0.07
3 F 0.612 0.151 0.625  0.09
4 Rb 0.872 0.872 0.383  0.00
5 Rb 0.287 0.287 0.139  0.00
6 F 0.803 0.803 0.114  0.07
7 F 0.388 0.849 0.375  0.09
8 F 0.280 0.803 0.114  0.07
9 F 0.720 0.197 0.886  0.07
10 F 0.803 0.280 0.114  0.07
11 Rb 0.128 0.128 0.617  0.00
12 Pd 0.409 0.409 0.772  1.44
13 Zn 0.500 0.500 0.500  -0.01
14 F 0.612 0.612 0.625  0.09
15 F 0.388 0.388 0.375  0.09
16 Pd 0.591 0.591 0.228  1.44
17 F 0.849 0.388 0.375  0.09
18 Rb 0.713 0.713 0.861  0.00
19 F 0.151 0.612 0.625  0.09
20 F 0.197 0.720 0.886  0.07

=====

(11)
Entry from Alexandria via LeMat-Bulk: a relaxed HoHfCuRe crystal (PBE-GGA).

## Properties
**Total magnetic moment**: 0.00 Bohr magnetons per cell
**ΔE_f**: -0.46 eV/f.u.
**E_tot**: -7.885 eV per atom

a b c (Å): 4.722 4.722 4.722
angles (deg): 60.00 60.00 60.00
Fractional positions:
1 Cu 0.000 0.000 0.000
2 Hf 0.250 0.250 0.250
3 Re 0.500 0.500 0.500
4 Ho 0.750 0.750 0.750

=====

(12)
Entry from Alexandria via LeMat-Bulk: a relaxed Pt2PbF2 crystal (PBE-GGA).

## Properties
**Total magnetic moment**: 1.48 Bohr magnetons per cell
**E_form (uncorrected)**: -385.3 meV per atom
**E_tot**: -4.292 eV per atom

a b c (Å): 3.848 3.848 6.266
angles (deg): 72.12 72.12 90.00
Site moments in Bohr magnetons follow the coordinates.
Fractional positions:
1 Pb 0.000 0.000 0.000  0.00
2 F 0.250 0.750 0.500  0.09
3 Pt 0.611 0.611 0.779  0.64
4 Pt 0.389 0.389 0.221  0.64
5 F 0.750 0.250 0.500  0.09